[1]
Here is a geometry-optimized CsMgAg2Br structure from Alexandria via LeMat-Bulk. Energies are from PBE-GGA.

abc: 5.623 5.623 6.634
angles: 90.00 90.00 90.00
Fractional positions:
Cs 0.000 0.000 0.000
Mg 0.500 0.500 0.000
Ag 0.000 0.500 0.500
Ag 0.500 0.000 0.500
Br 0.000 0.000 0.500

Calculated values
V in Å³/atom: 41.950
Formation energy from raw total energies in eV/f.u.: 1.41
Total energy in eV/cell: -8.41
SG: P4/mmm (123)
Total magnetic moment in μB per atom: 0.000


[2]
Here is a geometry-optimized HoSnPb structure from Alexandria via LeMat-Bulk. Energies are from PBE-GGA.

abc: 3.347 3.347 16.575
angles: 90.00 90.00 90.00
Fractional positions:
Ho 0.000 0.000 0.000
Ho 0.500 0.500 0.500
Sn 0.000 0.000 0.372
Sn 0.500 0.500 0.872
Pb 0.000 0.000 0.190
Pb 0.500 0.500 0.690

Calculated values
V in Å³/atom: 30.951
Formation enthalpy at 0 K in eV/atom: -0.065
Total energy in eV/cell: -24.97
SG: I4mm (107)
Total magnetic moment in μB per atom: 0.088


[3]
Here is a geometry-optimized TaZn2Rh2 structure from Alexandria via LeMat-Bulk. Energies are from PBE-GGA.

abc: 2.906 18.390 2.930
angles: 90.00 90.00 90.00
Fractional positions:
Ta 0.000 0.000 0.000
Ta 0.500 0.500 0.000
Zn 0.000 0.189 0.000
Zn 0.000 0.811 0.000
Zn 0.500 0.311 0.000
Zn 0.500 0.689 0.000
Rh 0.000 0.402 0.500
Rh 0.000 0.598 0.500
Rh 0.500 0.098 0.500
Rh 0.500 0.902 0.500

Calculated values
V in Å³/atom: 15.661
Formation enthalpy at 0 K in eV/atom: -0.371
Total energy in eV/cell: -61.91
SG: Cmmm (65)
Total magnetic moment in μB per atom: 0.000


[4]
Here is a geometry-optimized Mg2BiSe4 structure from Alexandria via LeMat-Bulk. Energies are from PBE-GGA.

abc: 6.659 6.659 13.590
angles: 90.00 90.00 145.84
Fractional positions:
Mg 0.128 0.872 0.566
Mg 0.128 0.872 0.934
Mg 0.872 0.128 0.066
Mg 0.872 0.128 0.434
Bi 0.386 0.614 0.750
Bi 0.614 0.386 0.250
Se 0.053 0.947 0.750
Se 0.222 0.778 0.113
Se 0.222 0.778 0.387
Se 0.500 0.500 0.000
Se 0.500 0.500 0.500
Se 0.778 0.222 0.613
Se 0.778 0.222 0.887
Se 0.947 0.053 0.250

Calculated values
V in Å³/atom: 24.171
Formation energy from raw total energies in eV/f.u.: -4.94
Total energy in eV/cell: -51.90
SG: Cmcm (63)
Total magnetic moment in μB per atom: 0.000


[5]
Here is a geometry-optimized SrLaI2O structure from Alexandria via LeMat-Bulk. Energies are from PBE-GGA.

abc: 6.662 6.662 4.326
angles: 90.00 90.00 90.00
Fractional positions:
Sr 0.000 0.000 0.000
La 0.500 0.500 0.500
I 0.000 0.500 0.500
I 0.500 0.000 0.500
O 0.500 0.500 0.000

Calculated values
V in Å³/atom: 38.392
Formation energy from raw total energies in eV/f.u.: -8.77
Total energy in eV/cell: -23.44
SG: P4/mmm (123)
Total magnetic moment in μB per atom: 0.000


[6]
Here is a geometry-optimized Cd6Pd structure from Alexandria via LeMat-Bulk. Energies are from PBE-GGA.

abc: 5.534 5.534 9.826
angles: 90.00 90.00 82.18
Fractional positions:
Cd 0.021 0.610 0.250
Cd 0.147 0.853 0.595
Cd 0.147 0.853 0.905
Cd 0.321 0.321 0.000
Cd 0.321 0.321 0.500
Cd 0.390 0.979 0.250
Cd 0.610 0.021 0.750
Cd 0.679 0.679 0.000
Cd 0.679 0.679 0.500
Cd 0.853 0.147 0.095
Cd 0.853 0.147 0.405
Cd 0.979 0.390 0.750
Pd 0.469 0.531 0.750
Pd 0.531 0.469 0.250

Calculated values
V in Å³/atom: 21.297
Formation enthalpy at 0 K in eV/atom: -0.160
Total energy in eV/cell: -23.61
SG: Cmcm (63)
Total magnetic moment in μB per atom: 0.000


[7]
Here is a geometry-optimized AlNiMo2 structure from Alexandria via LeMat-Bulk. Energies are from PBE-GGA.

abc: 4.623 4.623 2.682
angles: 90.00 90.00 90.00
Fractional positions:
Al 0.000 0.000 0.000
Ni 0.500 0.500 0.000
Mo 0.000 0.500 0.500
Mo 0.500 0.000 0.500

Calculated values
V in Å³/atom: 14.328
Formation enthalpy at 0 K in eV/atom: 0.079
Total energy in eV/cell: -30.87
SG: P4/mmm (123)
Total magnetic moment in μB per atom: 0.001


[8]
Here is a geometry-optimized Al2GeW structure from Alexandria via LeMat-Bulk. Energies are from PBE-GGA.

abc: 7.321 7.321 5.199
angles: 90.00 90.00 90.00
Fractional positions:
Al 0.242 0.250 0.125
Al 0.250 0.742 0.375
Al 0.250 0.758 0.875
Al 0.258 0.250 0.625
Al 0.742 0.750 0.625
Al 0.750 0.242 0.875
Al 0.750 0.258 0.375
Al 0.758 0.750 0.125
Ge 0.000 0.000 0.000
Ge 0.000 0.500 0.250
Ge 0.500 0.000 0.750
Ge 0.500 0.500 0.500
W 0.000 0.000 0.500
W 0.000 0.500 0.750
W 0.500 0.000 0.250
W 0.500 0.500 0.000

Calculated values
V in Å³/atom: 17.416
Formation enthalpy at 0 K in eV/atom: 0.628
Total energy in eV/cell: -90.18
SG: I-42d (122)
Total magnetic moment in μB per atom: 0.000